Tb3Pm2Ho6Er PBE relaxed; calculated volume = 31.62 A^3/atom; total DFT energy (no corrections) = -4.602 eV/atom; magnetization = 0.00 μB/f.u.
1.0
-2.9809 0.0583 -5.3789
-3.1661 -0.3250 5.2623
1.5287 11.6487 0.4462
Tb Pm Ho Er
3 2 6 1
Direct
0.1665 0.8335 0.5000
0.8335 0.1665 0.5000
0.5000 0.5000 0.5000
0.3334 0.6666 0.0000
0.6666 0.3334 0.0000
0.9159 0.5832 0.7488
0.7516 0.7516 0.2514
0.0841 0.4168 0.2512
0.5832 0.9159 0.7488
0.2484 0.2484 0.7486
0.4168 0.0841 0.2512
0.0000 0.0000 0.0000

---

Tm2Ga3Pd8 PBE relaxed; calculated volume = 17.53 A^3/atom; total DFT energy (no corrections) = -5.255 eV/atom; magnetization = 0.00 μB/f.u.
1.0
-4.5456 -4.3404 4.6651
1.3434 -4.4993 -2.8771
5.6492 3.5291 2.3891
Tm Ga Pd
2 3 8
Direct
0.2443 0.3675 0.7349
0.7557 0.6325 0.2651
0.5000 0.0000 0.0000
0.0000 0.2607 0.0000
0.0000 0.7393 0.0000
0.2026 0.7143 0.4286
0.7974 0.2857 0.5714
0.9049 0.1186 0.2373
0.0951 0.8814 0.7627
0.5931 0.6265 0.7584
0.5931 0.1319 0.7584
0.4069 0.8681 0.2416
0.4069 0.3735 0.2416

---

Pa3Tl3AuSe8 PBE relaxed; calculated volume = 30.99 A^3/atom; formation energy from raw total energies = -13.37 eV/f.u.; magnetization = 3.02 μB/f.u.
1.0
-4.7059 -4.8580 -5.5456
0.2371 -1.4534 7.9694
-4.7938 7.1275 -2.1759
Pa Tl Au Se
3 3 1 8
Direct
0.5000 0.0000 0.5000
0.5000 0.5000 0.5000
0.0000 0.5000 0.5000
0.0000 0.0000 0.0000
0.0000 0.5000 0.0000
0.5000 0.5000 0.0000
0.0000 0.0000 0.5000
0.2613 0.5227 0.2922
0.7387 0.4773 0.7078
0.7888 0.5777 0.3160
0.2112 0.4223 0.6840
0.7367 0.0468 0.2779
0.2633 0.9532 0.7221
0.3101 0.0468 0.2779
0.6899 0.9532 0.7221

---

Nd4CoPCl2 PBE relaxed; calculated volume = 26.11 A^3/atom; formation energy from raw total energies = -9.41 eV/f.u.; magnetization = 0.00 μB/f.u.
1.0
-2.2886 -2.9417 1.3278
3.3126 0.3910 6.5760
-5.8933 4.6517 0.1483
Nd Co P Cl
4 1 1 2
Direct
0.5000 0.2152 0.2017
0.5000 0.7848 0.7983
0.0000 0.2567 0.7841
0.0000 0.7433 0.2159
0.0000 0.0000 0.0000
0.5000 0.5000 0.0000
0.5000 0.0000 0.5000
0.0000 0.5000 0.5000

---

TbNpFe4 PBE relaxed; calculated volume = 15.21 A^3/atom; magnetization = 8.84 μB/f.u.; excess energy over the best structure of this formula in the dataset = 83 meV per atom
1.0
5.0533 0.0000 0.0000
2.5267 4.3763 0.0000
2.5267 1.4588 4.1260
Np Tb Fe
1 1 4
Direct
0.2500 0.2500 0.2500
0.0000 0.0000 0.0000
0.6241 0.6241 0.1277
0.6241 0.1277 0.6241
0.6241 0.6241 0.6241
0.1277 0.6241 0.6241

---

RbPu2AlO8 PBE relaxed; calculated volume = 15.91 A^3/atom; formation energy from raw total energies = -28.09 eV/f.u.; magnetization = 4.00 μB/f.u.
1.0
4.5631 -0.0066 -0.0191
0.0517 4.5997 0.2544
-0.0735 0.3811 9.1168
Rb Pu Al O
1 2 1 8
Direct
0.0000 0.0000 0.5000
0.4496 0.4894 0.8166
0.5504 0.5106 0.1834
0.0000 0.0000 0.0000
0.1908 0.7652 0.1637
0.6983 0.7113 0.9950
0.8129 0.1679 0.1614
0.8092 0.2348 0.8363
0.3017 0.2887 0.0050
0.1871 0.8321 0.8386
0.5602 0.6603 0.6320
0.4398 0.3397 0.3680

---

LiY3Pa3Se8 PBE relaxed; calculated volume = 25.28 A^3/atom; formation energy from raw total energies = -22.74 eV/f.u.; magnetization = 3.87 μB/f.u.
1.0
-0.7281 -1.4146 7.8945
2.6012 -5.8278 -4.9118
4.8732 6.3948 1.5952
Li Y Pa Se
1 3 3 8
Direct
0.0000 0.0000 0.5000
0.0000 0.0000 0.0000
0.0000 0.5000 0.0000
0.5000 0.5000 0.0000
0.5000 0.0000 0.5000
0.5000 0.5000 0.5000
0.0000 0.5000 0.5000
0.2482 0.4963 0.2445
0.7518 0.5037 0.7555
0.7526 0.5052 0.2520
0.2474 0.4948 0.7480
0.7526 0.9994 0.2520
0.2474 0.0006 0.7480
0.2467 0.9994 0.2520
0.7533 0.0006 0.7480

---

Tm2BiSb PBE relaxed; calculated volume = 29.78 A^3/atom; formation energy from raw total energies = -3.69 eV/f.u.; magnetization = 0.00 μB/f.u.; excess energy over the best structure of this formula in the dataset = 0 meV per atom
1.0
4.3812 0.0000 0.0000
2.1906 3.7942 0.0000
2.1906 1.2647 7.1664
Sb Tm Bi
1 2 1
Direct
0.0000 0.0000 0.0000
0.2521 0.2521 0.2437
0.7479 0.7479 0.7563
0.5000 0.5000 0.5000

---

What did the sixth record say?
RbPu2AlO8 PBE relaxed; calculated volume = 15.91 A^3/atom; formation energy from raw total energies = -28.09 eV/f.u.; magnetization = 4.00 μB/f.u.
1.0
4.5631 -0.0066 -0.0191
0.0517 4.5997 0.2544
-0.0735 0.3811 9.1168
Rb Pu Al O
1 2 1 8
Direct
0.0000 0.0000 0.5000
0.4496 0.4894 0.8166
0.5504 0.5106 0.1834
0.0000 0.0000 0.0000
0.1908 0.7652 0.1637
0.6983 0.7113 0.9950
0.8129 0.1679 0.1614
0.8092 0.2348 0.8363
0.3017 0.2887 0.0050
0.1871 0.8321 0.8386
0.5602 0.6603 0.6320
0.4398 0.3397 0.3680

---

Copy entry 7 word for word.
LiY3Pa3Se8 PBE relaxed; calculated volume = 25.28 A^3/atom; formation energy from raw total energies = -22.74 eV/f.u.; magnetization = 3.87 μB/f.u.
1.0
-0.7281 -1.4146 7.8945
2.6012 -5.8278 -4.9118
4.8732 6.3948 1.5952
Li Y Pa Se
1 3 3 8
Direct
0.0000 0.0000 0.5000
0.0000 0.0000 0.0000
0.0000 0.5000 0.0000
0.5000 0.5000 0.0000
0.5000 0.0000 0.5000
0.5000 0.5000 0.5000
0.0000 0.5000 0.5000
0.2482 0.4963 0.2445
0.7518 0.5037 0.7555
0.7526 0.5052 0.2520
0.2474 0.4948 0.7480
0.7526 0.9994 0.2520
0.2474 0.0006 0.7480
0.2467 0.9994 0.2520
0.7533 0.0006 0.7480